[1]
Entry from Alexandria via LeMat-Bulk: a relaxed structure of YTlGa2Tc (GGA-PBE).

Size of the total moment in μB per cell: 2.0
ΔE_f in eV per atom: 0.97

a = 5.082 Å, b = 5.082 Å, c = 5.233 Å
α = 90.00°, β = 90.00°, γ = 90.00°
Space group P4/mmm (No. 123)
One atom of each set of equivalent atoms:
Y 0.000 0.000 0.000
Tl 0.500 0.500 0.500
Ga 0.000 0.500 0.500
Tc 0.500 0.500 0.000

***

[2]
Entry from Alexandria via LeMat-Bulk: a relaxed structure of Hf2NpAg (GGA-PBE).

Size of the total moment in μB per cell: 3.5
ΔE_f in eV per atom: 0.19

a = 3.156 Å, b = 3.156 Å, c = 8.566 Å
α = 90.00°, β = 90.00°, γ = 90.00°
Space group P4/mmm (No. 123)
One atom of each set of equivalent atoms:
Hf 0.000 0.000 0.236
Np 0.500 0.500 0.500
Ag 0.500 0.500 0.000

***

[3]
Entry from Alexandria via LeMat-Bulk: a relaxed structure of Pr4BiTe (GGA-PBE).

Uncorrected formation energy in eV/f.u.: -3.32
Size of the total moment in μB per cell: 0.0

a = 5.863 Å, b = 7.967 Å, c = 10.076 Å
α = 113.02°, β = 106.87°, γ = 90.02°
Space group P-1 (No. 2)
One atom of each set of equivalent atoms:
Pr 0.069 0.218 0.139
Pr 0.176 0.815 0.350
Pr 0.325 0.685 0.650
Pr 0.430 0.282 0.861
Bi 0.249 0.250 0.500
Te 0.000 0.500 0.000
Te 0.500 0.000 0.000

***

[4]
Entry from Alexandria via LeMat-Bulk: a relaxed structure of AlCrIr2 (GGA-PBE).

Size of the total moment in μB per cell: 0.0
ΔE_f in eV per atom: 0.02

a = 2.809 Å, b = 4.614 Å, c = 8.702 Å
α = 90.00°, β = 90.00°, γ = 90.00°
Space group Cmm2 (No. 35)
One atom of each set of equivalent atoms:
Al 0.000 0.000 0.000
Cr 0.000 0.500 0.757
Ir 0.000 0.000 0.520
Ir 0.000 0.500 0.238

***

[5]
Entry from Alexandria via LeMat-Bulk: a relaxed structure of La2TbYTm2 (GGA-PBE).

Size of the total moment in μB per cell: 0.0
ΔE_f in eV per atom: 0.07

a = 7.091 Å, b = 5.687 Å, c = 9.848 Å
α = 90.00°, β = 90.00°, γ = 90.00°
Space group Pmma (No. 51)
One atom of each set of equivalent atoms:
La 0.000 0.000 0.000
La 0.250 0.500 0.177
Tb 0.250 0.000 0.660
Y 0.000 0.500 0.500
Tm 0.250 0.000 0.335
Tm 0.250 0.500 0.833

***

[6]
Entry from Alexandria via LeMat-Bulk: a relaxed structure of PaTiAs2 (GGA-PBE).

Size of the total moment in μB per cell: 0.3
Energy above the lowest structure with this stoichiometry in eV/atom: 0.319
ΔE_f in eV per atom: -0.65

a = 3.388 Å, b = 3.388 Å, c = 6.649 Å
α = 90.00°, β = 90.00°, γ = 90.00°
Space group P4/mmm (No. 123)
One atom of each set of equivalent atoms:
Pa 0.000 0.000 0.000
Ti 0.000 0.000 0.500
As 0.500 0.500 0.275

***

[7]
Entry from Alexandria via LeMat-Bulk: a relaxed structure of Tb2Pm3Hg6 (GGA-PBE).

Size of the total moment in μB per cell: 0.0
ΔE_f in eV per atom: -0.11

a = 5.151 Å, b = 5.151 Å, c = 26.949 Å
α = 90.00°, β = 90.00°, γ = 90.00°
Space group I4/mmm (No. 139)
One atom of each set of equivalent atoms:
Tb 0.000 0.000 0.125
Pm 0.000 0.000 0.356
Pm 0.000 0.000 0.500
Hg 0.000 0.000 0.239
Hg 0.000 0.500 0.067

***

[8]
Entry from Alexandria via LeMat-Bulk: a relaxed structure of Sm4HoN4 (GGA-PBE).

Uncorrected formation energy in eV/f.u.: -12.13
Size of the total moment in μB per cell: 0.0

a = 7.988 Å, b = 7.988 Å, c = 5.079 Å
α = 90.00°, β = 90.00°, γ = 90.00°
Space group I4/m (No. 87)
One atom of each set of equivalent atoms:
Sm 0.110 0.311 0.000
Ho 0.000 0.000 0.500
N 0.095 0.291 0.500

***

[9]
Entry from Alexandria via LeMat-Bulk: a relaxed structure of LiBi2I6 (GGA-PBE).

Uncorrected formation energy in eV/f.u.: -4.34
Size of the total moment in μB per cell: 3.4

a = 15.179 Å, b = 15.193 Å, c = 7.642 Å
α = 90.00°, β = 105.77°, γ = 90.00°
Space group C2/c (No. 15)
One atom of each set of equivalent atoms:
Li 0.000 0.007 0.250
Bi 0.237 0.405 0.991
I 0.125 0.070 0.584
I 0.126 0.421 0.613
I 0.133 0.257 0.087

***

[10]
Entry from Alexandria via LeMat-Bulk: a relaxed structure of NpAuN (GGA-PBE).

Uncorrected formation energy in eV/f.u.: -2.38
Size of the total moment in μB per cell: 6.0
Energy above the lowest structure with this stoichiometry in eV/atom: 0.000

a = 3.840 Å, b = 3.840 Å, c = 7.241 Å
α = 90.00°, β = 90.00°, γ = 90.00°
Space group P4/nmm (No. 129, origin choice 2)
One atom of each set of equivalent atoms:
Np 0.250 0.250 0.155
Au 0.250 0.250 0.588
N 0.250 0.750 0.000

***

[11]
Entry from Alexandria via LeMat-Bulk: a relaxed structure of ZnCu14Rh (GGA-PBE).

Size of the total moment in μB per cell: 0.0
ΔE_f in eV per atom: -0.02

a = 8.444 Å, b = 5.150 Å, c = 9.016 Å
α = 90.00°, β = 90.00°, γ = 90.00°
Space group Amm2 (No. 38)
One atom of each set of equivalent atoms:
Zn 0.000 0.000 0.000
Cu 0.000 0.249 0.751
Cu 0.250 0.000 0.166
Cu 0.254 0.000 0.666
Cu 0.255 0.250 0.414
Cu 0.500 0.000 0.329
Cu 0.500 0.000 0.831
Cu 0.500 0.248 0.081
Rh 0.000 0.000 0.501

***

[12]
Entry from Alexandria via LeMat-Bulk: a relaxed structure of AlCuAu3 (GGA-PBE).

Size of the total moment in μB per cell: 0.0
Energy above the lowest structure with this stoichiometry in eV/atom: 0.025
ΔE_f in eV per atom: -0.19

a = 4.271 Å, b = 5.467 Å, c = 7.378 Å
α = 93.99°, β = 105.99°, γ = 90.96°
Space group P-1 (No. 2)
One atom of each set of equivalent atoms:
Al 0.119 0.410 0.245
Cu 0.287 0.864 0.581
Au 0.102 0.913 0.203
Au 0.312 0.356 0.615
Au 0.473 0.743 0.945

***

[13]
Entry from Alexandria via LeMat-Bulk: a relaxed structure of Pm2CoPb (GGA-PBE).

Size of the total moment in μB per cell: 1.1
ΔE_f in eV per atom: -0.11

a = 5.112 Å, b = 5.112 Å, c = 3.980 Å
α = 90.00°, β = 90.00°, γ = 90.00°
Space group P4/mmm (No. 123)
One atom of each set of equivalent atoms:
Pm 0.000 0.500 0.000
Co 0.000 0.000 0.500
Pb 0.500 0.500 0.500

***

[14]
Entry from Alexandria via LeMat-Bulk: a relaxed structure of La4Ho3TmSe8 (GGA-PBE).

Uncorrected formation energy in eV/f.u.: -29.77
Size of the total moment in μB per cell: 0.0

a = 8.2620 Å, b = 8.2620 Å, c = 20.9570 Å
α = 90.00°, β = 90.00°, γ = 120.00°
Space group R-3m (No. 166, hexagonal axes)
One atom of each set of equivalent atoms:
La 0.0000 0.0000 0.0000
La 0.0000 0.5000 0.0000
Ho 0.0000 0.5000 0.5000
Tm 0.0000 0.0000 0.5000
Se 0.0000 0.0000 0.2428
Se 0.0020 0.5010 0.2423

***

[15]
Entry from Alexandria via LeMat-Bulk: a relaxed structure of Rb3Y2TmS6 (GGA-PBE).

Uncorrected formation energy in eV/f.u.: -22.28
Size of the total moment in μB per cell: 0.0

a = 7.041 Å, b = 12.196 Å, c = 8.036 Å
α = 90.00°, β = 106.98°, γ = 90.00°
Space group C2/m (No. 12)
One atom of each set of equivalent atoms:
Rb 0.000 0.000 0.000
Rb 0.000 0.333 0.000
Y 0.000 0.167 0.500
Tm 0.000 0.500 0.500
S 0.229 0.335 0.691
S 0.234 0.000 0.692

***

[16]
Entry from Alexandria via LeMat-Bulk: a relaxed structure of AcPd4Pb (GGA-PBE).

Size of the total moment in μB per cell: 0.0
ΔE_f in eV per atom: -0.56

a = 4.365 Å, b = 18.844 Å, c = 6.166 Å
α = 90.00°, β = 90.00°, γ = 90.00°
Space group Cmcm (No. 63)
One atom of each set of equivalent atoms:
Ac 0.000 0.087 0.250
Pd 0.000 0.076 0.750
Pd 0.000 0.347 0.030
Pd 0.000 0.500 0.000
Pb 0.000 0.230 0.750

***

[17]
Entry from Alexandria via LeMat-Bulk: a relaxed structure of Sm2CoCu (GGA-PBE).

Size of the total moment in μB per cell: 0.0
ΔE_f in eV per atom: 0.39

a = 3.8133 Å, b = 3.8133 Å, c = 26.3937 Å
α = 90.00°, β = 90.00°, γ = 120.00°
Space group R-3m (No. 166, hexagonal axes)
One atom of each set of equivalent atoms:
Sm 0.0000 0.0000 0.1084
Co 0.0000 0.0000 0.5000
Cu 0.0000 0.0000 0.0000

***

[18]
Entry from Alexandria via LeMat-Bulk: a relaxed structure of CeNbP2 (GGA-PBE).

Size of the total moment in μB per cell: 3.0
Energy above the lowest structure with this stoichiometry in eV/atom: 0.077
ΔE_f in eV per atom: -1.07

a = 3.6977 Å, b = 3.6977 Å, c = 20.2361 Å
α = 90.00°, β = 90.00°, γ = 120.00°
Space group R3m (No. 160, hexagonal axes)
One atom of each set of equivalent atoms:
Ce 0.0000 0.0000 0.0000
Nb 0.0000 0.0000 0.8247
P 0.0000 0.0000 0.4238
P 0.0000 0.0000 0.5661

***

[19]
Entry from Alexandria via LeMat-Bulk: a relaxed structure of NdPaPdRu (GGA-PBE).

Size of the total moment in μB per cell: 0.8
ΔE_f in eV per atom: -0.34

a = 7.016 Å, b = 7.016 Å, c = 7.016 Å
α = 90.00°, β = 90.00°, γ = 90.00°
Space group F-43m (No. 216)
One atom of each set of equivalent atoms:
Nd 0.000 0.000 0.000
Pa 0.000 0.000 0.500
Pd 0.250 0.250 0.750
Ru 0.250 0.250 0.250

***

[20]
Entry from Alexandria via LeMat-Bulk: a relaxed structure of HfTiSN2 (GGA-PBE).

Uncorrected formation energy in eV/f.u.: -1.59
Size of the total moment in μB per cell: 0.0
Energy above the lowest structure with this stoichiometry in eV/atom: 0.000

a = 3.867 Å, b = 3.867 Å, c = 4.660 Å
α = 90.00°, β = 90.00°, γ = 90.00°
Space group P4/mmm (No. 123)
One atom of each set of equivalent atoms:
Hf 0.000 0.000 0.000
Ti 0.500 0.500 0.500
S 0.500 0.500 0.000
N 0.000 0.500 0.500

***

[21]
Entry from Alexandria via LeMat-Bulk: a relaxed structure of Rb2TiPdCl6 (GGA-PBE).

Uncorrected formation energy in eV/f.u.: -14.24
Size of the total moment in μB per cell: 0.0

a = 7.796 Å, b = 7.796 Å, c = 9.094 Å
α = 90.00°, β = 90.00°, γ = 90.00°
Space group I4/mmm (No. 139)
One atom of each set of equivalent atoms:
Rb 0.000 0.500 0.250
Ti 0.000 0.000 0.000
Pd 0.000 0.000 0.500
Cl 0.000 0.000 0.251
Cl 0.220 0.220 0.000

***

[22]
Entry from Alexandria via LeMat-Bulk: a relaxed structure of ZrScAlCr (GGA-PBE).

Size of the total moment in μB per cell: 8.5
ΔE_f in eV per atom: -0.08

a = 6.694 Å, b = 6.694 Å, c = 6.694 Å
α = 90.00°, β = 90.00°, γ = 90.00°
Space group F-43m (No. 216)
One atom of each set of equivalent atoms:
Zr 0.000 0.000 0.000
Sc 0.000 0.000 0.500
Al 0.250 0.250 0.250
Cr 0.250 0.250 0.750

***

[23]
Entry from Alexandria via LeMat-Bulk: a relaxed structure of Al2ZnPt (GGA-PBE).

Size of the total moment in μB per cell: 0.0
ΔE_f in eV per atom: -0.52

a = 4.2342 Å, b = 4.2342 Å, c = 13.0752 Å
α = 90.00°, β = 90.00°, γ = 120.00°
Space group R3m (No. 160, hexagonal axes)
One atom of each set of equivalent atoms:
Al 0.0000 0.0000 0.0000
Al 0.0000 0.0000 0.2140
Zn 0.0000 0.0000 0.4249
Pt 0.0000 0.0000 0.6213

***

[24]
Entry from Alexandria via LeMat-Bulk: a relaxed structure of NaAg2ClF2 (GGA-PBE).

Uncorrected formation energy in eV/f.u.: -7.65
Size of the total moment in μB per cell: 0.0

a = 5.719 Å, b = 6.550 Å, c = 6.366 Å
α = 90.00°, β = 115.19°, γ = 90.00°
Space group P2_1/m (No. 11)
One atom of each set of equivalent atoms:
Na 0.039 0.250 0.496
Ag 0.179 0.750 0.084
Ag 0.401 0.250 0.076
Cl 0.471 0.750 0.503
F 0.139 0.003 0.794